Arrangement one

Computed, not measured: a relaxed structure of Dy6In5Sn at the GGA-PBE level of DFT.

Results
The density of states at the Fermi level is 5.83 states/eV per cell.

```
Dy6In5Sn
1.0
5.170 -0.008 -1.452
-3.886 7.418 -3.927
-0.222 -1.162 9.173
In Sn Dy
5 1 6
direct
0.500 0.171 0.829
0.000 0.334 0.666
0.500 0.500 0.500
0.000 0.666 0.334
0.500 0.829 0.171
0.000 0.000 0.000
0.248 0.083 0.413
0.752 0.587 0.917
0.747 0.247 0.247
0.253 0.753 0.753
0.248 0.413 0.083
0.752 0.917 0.587
```

=====

Arrangement two

Computed, not measured: a relaxed structure of Dy6In5Sn at the GGA-PBE level of DFT.

Results
The density of states at the Fermi level is 7.04 states/eV per cell.

```
Dy6In5Sn
1.0
-5.439 5.599 -6.203
-2.810 -2.175 -3.427
-7.068 -1.296 3.064
Dy In Sn
6 5 1
direct
0.750 0.084 0.332
0.250 0.584 0.332
0.248 0.252 0.000
0.752 0.748 0.000
0.750 0.416 0.668
0.250 0.916 0.668
0.500 0.166 0.667
0.000 0.329 0.342
0.500 0.500 0.000
0.000 0.671 0.658
0.500 0.834 0.333
0.000 0.000 0.000
```

=====

What should be chosen as the most stable of them? Choose arrangement two.